{
  "formula": "Ag2AsAu",
  "functional": "PBE-GGA",
  "state": "optimized geometry",
  "lattice_angstrom": [[-1.773, 2.485, 6.952], [-5.626, -5.085, 0.383], [-1.968, -3.133, 4.764]],
  "species": ["As", "As", "Au", "Au", "Ag", "Ag", "Ag", "Ag"],
  "frac_coords": [[0.500, 0.500, 0.000], [0.250, 0.750, 0.500], [0.000, 0.000, 0.000], [0.750, 0.250, 0.500], [0.610, 0.125, 0.250], [0.140, 0.625, 0.250], [0.375, 0.390, 0.750], [0.875, 0.860, 0.750]],
  "formation_enthalpy_0k_ev_per_atom": 0.213
}

***

{
  "formula": "AgAs2Au",
  "functional": "PBE-GGA",
  "state": "optimized geometry",
  "lattice_angstrom": [[5.361, 0.180, 0.000], [2.067, 4.950, 0.000], [-3.714, -2.565, 2.898]],
  "species": ["As", "As", "Au", "Ag"],
  "frac_coords": [[0.000, 0.000, 0.000], [0.500, 0.500, 0.000], [0.250, 0.750, 0.500], [0.750, 0.250, 0.500]],
  "e_above_lowest_polymorph_ev_per_atom": 0.082,
  "formation_enthalpy_0k_ev_per_atom": 0.230
}

***

{
  "formula": "AgAsAu2",
  "functional": "PBE-GGA",
  "state": "optimized geometry",
  "lattice_angstrom": [[-4.156, 0.583, -1.605], [0.213, -2.493, -1.458], [-2.153, -2.826, 4.549]],
  "species": ["As", "Au", "Au", "Ag"],
  "frac_coords": [[0.500, 0.750, 0.750], [0.000, 0.751, 0.008], [0.000, 0.749, 0.492], [0.500, 0.250, 0.250]],
  "formation_enthalpy_0k_ev_per_atom": 0.075
}

***

Per-record calculated density, g/cm³: 10.2; 10.0; 12.7